Entry A
Below is a relaxed Sm2CuI crystal, with properties calculated at the PBE level.

The value obtained for the theoretical density is 7.0 Mg/m³. The value obtained for the magnetic moment is 0.0 μB per formula unit. The volume comes out at 29.29 A^3/atom.

Lattice parameters (Å, degrees): 4.1702 4.1702 8.1428 75.16 75.16 60.00
Last column: nearest neighbours and their distance in Å.
Fractional positions:
Sm 0.2669 0.2669 0.1992  3 Cu 2.86
Sm 0.7331 0.7331 0.8008  3 Cu 2.86
I 0.5000 0.5000 0.5000  6 Sm 3.36
Cu 0.0000 0.0000 0.0000  6 Sm 2.86

***

Entry B
Below is a relaxed Sm2CuI crystal, with properties calculated at the PBE level.

The value obtained for the theoretical density is 7.6 Mg/m³. The value obtained for the magnetic moment is 0.0 μB per formula unit. The volume comes out at 26.70 A^3/atom.

Lattice parameters (Å, degrees): 3.5887 3.5887 8.2931 90.00 90.00 90.00
Last column: nearest neighbours and their distance in Å.
Fractional positions:
Cu 0.5000 0.5000 0.0000  8 Sm 3.10
Sm 0.0000 0.0000 0.7847  4 Cu 3.10, 4 I 3.47
Sm 0.0000 0.0000 0.2153  4 Cu 3.10, 4 I 3.47
I 0.5000 0.5000 0.5000  8 Sm 3.47, 4 I 3.59

***

Energy comparison, zero being the most stable, in meV per atom: entry A 0; entry B 120.

***

Entry A
Below is a relaxed CuSnI2 crystal, with properties calculated at the PBE level.

The value obtained for the theoretical density is 5.7 Mg/m³. The value obtained for the magnetic moment is 0.0 μB per formula unit. The volume comes out at 31.75 A^3/atom.

Lattice parameters (Å, degrees): 3.9164 3.9164 9.8240 78.50 78.50 60.00
Last column: nearest neighbours and their distance in Å.
Fractional positions:
I 0.8898 0.8898 0.3305  3 Cu 2.78
I 0.1102 0.1102 0.6695  3 Cu 2.78
Sn 0.0000 0.0000 0.0000  2 I 3.16
Cu 0.5000 0.5000 0.5000  6 I 2.78

***

Entry B
Below is a relaxed CuSnI2 crystal, with properties calculated at the PBE level.

The value obtained for the theoretical density is 5.3 Mg/m³. The value obtained for the magnetic moment is 0.9 μB per formula unit. The volume comes out at 34.19 A^3/atom.

Lattice parameters (Å, degrees): 7.6218 7.6218 7.1567 57.83 57.83 90.00
Last column: nearest neighbours and their distance in Å.
Fractional positions:
Cu 0.5000 0.5000 0.0000  4 I 2.64
Cu 0.2500 0.7500 0.5000  4 I 2.64
Sn 0.7500 0.2500 0.5000  4 I 3.29
Sn 0.0000 0.0000 0.0000  4 I 3.29
I 0.1919 0.6250 0.2500  2 Cu 2.64
I 0.8750 0.8081 0.7500  2 Cu 2.64
I 0.5581 0.1250 0.2500  2 Cu 2.64
I 0.3750 0.4419 0.7500  2 Cu 2.64

***

Energy comparison, zero being the most stable, in meV per atom: entry A 0; entry B 58.

***

Entry A
Below is a relaxed CuSnI3 crystal, with properties calculated at the PBE level.

The value obtained for the theoretical density is 4.6 Mg/m³. The value obtained for the magnetic moment is 0.0 μB per formula unit. The volume comes out at 40.55 A^3/atom.

Lattice parameters (Å, degrees): 4.4473 7.1433 13.2551 105.63 90.00 90.00
Last column: nearest neighbours and their distance in Å.
Fractional positions:
I 0.2500 0.1032 0.2053  1 Cu 2.63
I 0.2500 0.7233 0.4299  1 Cu 2.67
I 0.7500 0.8979 0.7947  1 Cu 2.63
I 0.7500 0.2934 0.5701  1 Cu 2.67
I 0.7500 0.5801 0.1470  2 Cu 2.65
I 0.2500 0.4331 0.8530  2 Cu 2.65
Cu 0.7500 0.5196 0.7663  4 I 2.63-2.67
Cu 0.2500 0.7533 0.2337  4 I 2.63-2.67
Sn 0.2500 0.0635 0.6726  5 I 3.05-3.27
Sn 0.7500 0.3910 0.3274  5 I 3.05-3.27

***

Entry B
Below is a relaxed CuSnI3 crystal, with properties calculated at the PBE level.

The value obtained for the theoretical density is 4.5 Mg/m³. The value obtained for the magnetic moment is 0.0 μB per formula unit. The volume comes out at 41.37 A^3/atom.

Lattice parameters (Å, degrees): 7.4921 9.7927 11.3253 90.00 84.78 90.00
Last column: nearest neighbours and their distance in Å.
Fractional positions:
Cu 0.0859 0.0029 0.3940  1 Cu 2.62, 4 I 2.63-2.69
Cu 0.5859 0.4971 0.8940  1 Cu 2.62, 4 I 2.63-2.69
Cu 0.4141 0.5029 0.1060  1 Cu 2.62, 4 I 2.63-2.69
Cu 0.9141 0.9971 0.6060  1 Cu 2.62, 4 I 2.63-2.69
Sn 0.0266 0.7470 0.0047  3 I 3.02-3.06
Sn 0.4734 0.2470 0.4953  3 I 3.02-3.06
Sn 0.9734 0.2530 0.9953  3 I 3.02-3.06
Sn 0.5266 0.7530 0.5047  3 I 3.02-3.06
I 0.4261 0.9588 0.3239  1 Cu 2.64
I 0.5739 0.0412 0.6761  1 Cu 2.64
I 0.0739 0.4588 0.1761  1 Cu 2.64
I 0.9356 0.7735 0.4763  2 Cu 2.63-2.64
I 0.9463 0.0336 0.1847  1 Cu 2.69
I 0.5537 0.5336 0.3153  1 Cu 2.69
I 0.0644 0.2265 0.5237  2 Cu 2.63-2.64
I 0.9261 0.5412 0.8239  1 Cu 2.64
I 0.0537 0.9664 0.8153  1 Cu 2.69
I 0.4356 0.7265 0.9763  2 Cu 2.63-2.64
I 0.5644 0.2735 0.0237  2 Cu 2.63-2.64
I 0.4463 0.4664 0.6847  1 Cu 2.69

***

Entry C
Below is a relaxed CuSnI3 crystal, with properties calculated at the PBE level.

The value obtained for the theoretical density is 5.8 Mg/m³. The value obtained for the magnetic moment is 0.0 μB per formula unit. The volume comes out at 32.19 A^3/atom.

Lattice parameters (Å, degrees): 5.4397 5.4397 5.4397 90.00 90.00 90.00
Last column: nearest neighbours and their distance in Å.
Fractional positions:
Cu 0.0000 0.0000 0.0000  6 I 2.72
I 0.5000 0.0000 0.0000  2 Cu 2.72
I 0.0000 0.5000 0.0000  2 Cu 2.72
I 0.0000 0.0000 0.5000  2 Cu 2.72
Sn 0.5000 0.5000 0.5000  12 I 3.85

***

Energy comparison, zero being the most stable, in meV per atom: entry A 0; entry B 29; entry C 374.

***

Entry A
Below is a relaxed Cu2Sn2I crystal, with properties calculated at the PBE level.

The value obtained for the theoretical density is 6.9 Mg/m³. The value obtained for the magnetic moment is 0.0 μB per formula unit. The volume comes out at 23.81 A^3/atom.

Lattice parameters (Å, degrees): 8.3604 8.3604 3.4062 90.00 90.00 90.00
Last column: nearest neighbours and their distance in Å.
Fractional positions:
Cu 0.1048 0.6048 0.5000  1 Cu 2.48
Cu 0.8952 0.3952 0.5000  1 Cu 2.48
Cu 0.6048 0.8952 0.5000  1 Cu 2.48
Cu 0.3952 0.1048 0.5000  1 Cu 2.48
Sn 0.3181 0.8181 0.0000  6 Cu 3.01-3.04, 2 I 3.06
Sn 0.8181 0.6819 0.0000  6 Cu 3.01-3.04, 2 I 3.06
Sn 0.1819 0.3181 0.0000  6 Cu 3.01-3.04, 2 I 3.06
Sn 0.6819 0.1819 0.0000  6 Cu 3.01-3.04, 2 I 3.06
I 0.5000 0.5000 0.0000  4 Sn 3.06, 2 I 3.41
I 0.0000 0.0000 0.0000  4 Sn 3.06, 2 I 3.41

***

Entry B
Below is a relaxed Cu2Sn2I crystal, with properties calculated at the PBE level.

The value obtained for the theoretical density is 7.2 Mg/m³. The value obtained for the magnetic moment is 0.0 μB per formula unit. The volume comes out at 22.70 A^3/atom.

Lattice parameters (Å, degrees): 7.8931 7.8931 3.6444 90.00 90.00 90.00
Last column: nearest neighbours and their distance in Å.
Fractional positions:
Sn 0.6541 0.8459 0.5000  6 Cu 2.84-3.11
Sn 0.8459 0.3459 0.5000  6 Cu 2.84-3.11
Sn 0.3459 0.1541 0.5000  6 Cu 2.84-3.11
Sn 0.1541 0.6541 0.5000  6 Cu 2.84-3.11
Cu 0.3795 0.8795 0.0000  1 Cu 2.69, 4 Sn 2.84
Cu 0.8795 0.6205 0.0000  1 Cu 2.69, 4 Sn 2.84
Cu 0.6205 0.1205 0.0000  1 Cu 2.69, 4 Sn 2.84
Cu 0.1205 0.3795 0.0000  1 Cu 2.69, 4 Sn 2.84
I 0.5000 0.5000 0.0000  4 Cu 3.14, 8 Sn 3.50
I 0.0000 0.0000 0.0000  4 Cu 3.14, 8 Sn 3.50

***

Energy comparison, zero being the most stable, in meV per atom: entry A 63; entry B 0.

***

Entry A
Below is a relaxed Cu2SnI4 crystal, with properties calculated at the PBE level.

The value obtained for the theoretical density is 4.6 Mg/m³. The value obtained for the magnetic moment is 0.0 μB per formula unit. The volume comes out at 38.46 A^3/atom.

Lattice parameters (Å, degrees): 6.2276 6.2276 6.9418 90.00 90.00 90.00
Last column: nearest neighbours and their distance in Å.
Fractional positions:
Sn 0.0000 0.0000 0.0000  4 I 3.09
I 0.7332 0.2668 0.7101  2 Cu 2.65
I 0.2668 0.2668 0.2899  2 Cu 2.65
I 0.2668 0.7332 0.7101  2 Cu 2.65
I 0.7332 0.7332 0.2899  2 Cu 2.65
Cu 0.5000 0.0000 0.5000  4 I 2.65
Cu 0.0000 0.5000 0.5000  4 I 2.65

***

Entry B
Below is a relaxed Cu2SnI4 crystal, with properties calculated at the PBE level.

The value obtained for the theoretical density is 4.7 Mg/m³. The value obtained for the magnetic moment is 0.0 μB per formula unit. The volume comes out at 37.72 A^3/atom.

Lattice parameters (Å, degrees): 4.3688 8.2018 7.7115 97.09 89.98 105.54
Last column: nearest neighbours and their distance in Å.
Fractional positions:
I 0.6265 0.2518 0.8705  1 Cu 2.56
I 0.3735 0.7482 0.1295  1 Cu 2.56
I 0.8853 0.7706 0.6219  2 Cu 2.57
I 0.1147 0.2294 0.3781  2 Cu 2.57
Cu 0.4128 0.8249 0.4620  3 I 2.56-2.57, 1 Cu 2.75
Cu 0.5872 0.1751 0.5380  3 I 2.56-2.57, 1 Cu 2.75
Sn 0.0000 0.0000 0.0000  6 I 3.20-3.23

***

Energy comparison, zero being the most stable, in meV per atom: entry A 42; entry B 0.

***

Entry A
Below is a relaxed Sr2CuI crystal, with properties calculated at the PBE level.

The value obtained for the theoretical density is 4.2 Mg/m³. The value obtained for the magnetic moment is 0.0 μB per formula unit. The volume comes out at 36.32 A^3/atom.

Lattice parameters (Å, degrees): 4.4485 4.4485 8.8587 75.46 75.46 60.00
Last column: nearest neighbours and their distance in Å.
Fractional positions:
Sr 0.7341 0.7341 0.7977  3 Cu 3.09
Sr 0.2659 0.2659 0.2023  3 Cu 3.09
I 0.5000 0.5000 0.5000  6 Sr 3.60
Cu 0.0000 0.0000 0.0000  6 Sr 3.09

***

Entry B
Below is a relaxed Sr2CuI crystal, with properties calculated at the PBE level.

The value obtained for the theoretical density is 4.6 Mg/m³. The value obtained for the magnetic moment is 0.0 μB per formula unit. The volume comes out at 32.96 A^3/atom.

Lattice parameters (Å, degrees): 3.9275 3.9275 8.5462 90.00 90.00 90.00
Last column: nearest neighbours and their distance in Å.
Fractional positions:
Sr 0.0000 0.0000 0.2104  4 Cu 3.31, 1 Sr 3.60
Sr 0.0000 0.0000 0.7896  4 Cu 3.31, 1 Sr 3.60
I 0.5000 0.5000 0.5000  8 Sr 3.72, 4 I 3.93
Cu 0.5000 0.5000 0.0000  8 Sr 3.31

***

Entry C
Below is a relaxed Sr2CuI crystal, with properties calculated at the PBE level.

The value obtained for the theoretical density is 3.9 Mg/m³. The value obtained for the magnetic moment is 0.0 μB per formula unit. The volume comes out at 38.77 A^3/atom.

Lattice parameters (Å, degrees): 8.5348 8.5348 7.3860 54.71 54.71 90.00
Last column: nearest neighbours and their distance in Å.
Fractional positions:
Sr 0.1616 0.6250 0.2500  2 Cu 3.00
Sr 0.8750 0.8384 0.7500  2 Cu 3.00
Sr 0.3750 0.4116 0.7500  2 Cu 3.00
Sr 0.5884 0.1250 0.2500  2 Cu 3.00
I 0.0000 0.0000 0.0000  4 Sr 3.42
I 0.7500 0.2500 0.5000  4 Sr 3.42
Cu 0.2500 0.7500 0.5000  4 Sr 3.00
Cu 0.5000 0.5000 0.0000  4 Sr 3.00

***

Energy comparison, zero being the most stable, in meV per atom: entry A 0; entry B 93; entry C 215.